Entry 1:
Material: Zr2AlN
Method: DFT, PBE-GGA
State: relaxed

## Properties
**Energy above the most stable polymorph in this dataset**: 0.000 eV/atom
**E_form (uncorrected)**: -1080 meV/atom
**Spin magnetization**: 0.000 μB/atom
**Mass density**: 5.58 Mg/m³
**E**: -8.371 eV/atom
**Calculated volume**: 16.62 Å³ per atom
**Fermi-level density of states**: 3.76 states/eV/cell

Unit cell a=3.2621 b=3.2621 c=14.4292 alpha=90.00 beta=90.00 gamma=120.00
With the nearest neighbours (Å) after each atom.
Space group P6_3/mmc (No. 194)
Inequivalent atoms, fractional coordinates:
Zr: 0.3333 0.6667 0.0890  3 N 2.28
Al: 0.3333 0.6667 0.7500  6 Zr 2.99, 6 Al 3.26
N: 0.0000 0.0000 0.0000  6 Zr 2.28

=====

Entry 2:
Material: Na3CdPb12
Method: DFT, PBE-GGA
State: relaxed

## Properties
**Spin magnetization**: 0.000 μB/atom
**Mass density**: 9.29 Mg/m³
**E**: -3.159 eV/atom
**Calculated volume**: 29.82 Å³ per atom
**Energy of formation from the pure elements**: -0.073 eV per atom
**Fermi-level density of states**: 7.23 states/eV/cell

Unit cell a=4.8544 b=4.8544 c=20.2447 alpha=90.00 beta=90.00 gamma=90.00
With the nearest neighbours (Å) after each atom.
Space group P4/mmm (No. 123)
Inequivalent atoms, fractional coordinates:
Na: 0.0000 0.0000 0.0000  12 Pb 3.43-3.51
Na: 0.0000 0.0000 0.2488  12 Pb 3.43-3.53
Cd: 0.0000 0.0000 0.5000  12 Pb 3.43-3.50
Pb: 0.0000 0.5000 0.1253  8 Pb 3.43-3.51, 4 Na 3.49-3.51
Pb: 0.0000 0.5000 0.3752  8 Pb 3.43-3.51, 2 Cd 3.50, 2 Na 3.53
Pb: 0.5000 0.5000 0.0000  4 Na 3.43, 8 Pb 3.51
Pb: 0.5000 0.5000 0.2498  4 Na 3.43, 8 Pb 3.50-3.51
Pb: 0.5000 0.5000 0.5000  4 Cd 3.43, 8 Pb 3.50